# 1
## CsAsHSe2 (PBE)

Data for an optimized crystal structure of CsAsHSe2.

Computed properties:
Relative energy among the computed polymorphs   1262 meV per atom

abc: 6.229 6.229 6.492
angles: 90.00 90.00 90.00
Positions (direct):
Cs  0.000  0.000  0.000
As  0.000  0.000  0.500
H  0.500  0.500  0.500
Se  0.000  0.500  0.000
Se  0.500  0.000  0.000

***

# 2
## TbDyMn17 (PBE)

Data for an optimized crystal structure of TbDyMn17.

abc: 6.323 6.323 6.323
angles: 86.26 86.26 86.26
Positions (direct):
Tb  0.000  0.000  0.000
Dy  0.710  0.710  0.710
Mn  0.000  0.000  0.479
Mn  0.000  0.479  0.000
Mn  0.080  0.355  0.630
Mn  0.080  0.630  0.355
Mn  0.232  0.711  0.711
Mn  0.256  0.256  0.256
Mn  0.355  0.080  0.630
Mn  0.355  0.355  0.855
Mn  0.355  0.630  0.080
Mn  0.355  0.855  0.355
Mn  0.455  0.455  0.455
Mn  0.479  0.000  0.000
Mn  0.630  0.080  0.355
Mn  0.630  0.355  0.080
Mn  0.711  0.232  0.711
Mn  0.711  0.711  0.232
Mn  0.855  0.355  0.355

***

# 3
## CsW (PBE)

Data for an optimized crystal structure of CsW.

Computed properties:
Relative energy among the computed polymorphs   147 meV per atom

abc: 15.805 3.530 9.431
angles: 90.00 90.00 90.00
Positions (direct):
Cs  0.000  0.233  0.000
Cs  0.209  0.737  0.672
Cs  0.291  0.263  0.172
Cs  0.500  0.767  0.500
Cs  0.709  0.263  0.172
Cs  0.791  0.737  0.672
W  0.000  0.229  0.498
W  0.076  0.730  0.353
W  0.424  0.270  0.853
W  0.500  0.771  0.998
W  0.576  0.270  0.853
W  0.924  0.730  0.353

***

# 4
## BaLiSe (PBE)

Data for an optimized crystal structure of BaLiSe.

Computed properties:
Formation energy without anion corrections   -277 kJ/mol of formula units
Relative energy among the computed polymorphs   306 meV per atom

abc: 3.879 3.879 11.212
angles: 90.00 90.00 90.00
Positions (direct):
Ba  0.000  0.000  0.000
Ba  0.500  0.500  0.500
Li  0.000  0.000  0.729
Li  0.500  0.500  0.229
Se  0.000  0.000  0.302
Se  0.500  0.500  0.802

***

# 5
## Be3TlW (PBE)

Data for an optimized crystal structure of Be3TlW.

Computed properties:
Relative energy among the computed polymorphs   0 meV per atom

abc: 4.466 4.466 4.466
angles: 90.00 90.00 90.00
Positions (direct):
Be  0.000  0.000  0.500
Be  0.000  0.500  0.000
Be  0.500  0.000  0.000
Tl  0.500  0.500  0.500
W  0.000  0.000  0.000

***

# 6
## Ho2Zn2SnRh5 (PBE)

Data for an optimized crystal structure of Ho2Zn2SnRh5.

abc: 9.682 9.682 3.655
angles: 90.00 90.00 90.00
Positions (direct):
Ho  0.173  0.327  0.000
Ho  0.327  0.827  0.000
Ho  0.673  0.173  0.000
Ho  0.827  0.673  0.000
Zn  0.124  0.624  0.000
Zn  0.376  0.124  0.000
Zn  0.624  0.876  0.000
Zn  0.876  0.376  0.000
Sn  0.000  0.000  0.000
Sn  0.500  0.500  0.000
Rh  0.000  0.500  0.500
Rh  0.069  0.795  0.500
Rh  0.205  0.069  0.500
Rh  0.295  0.569  0.500
Rh  0.431  0.295  0.500
Rh  0.500  0.000  0.500
Rh  0.569  0.705  0.500
Rh  0.705  0.431  0.500
Rh  0.795  0.931  0.500
Rh  0.931  0.205  0.500

***

# 7
## CdHgTe2 (PBE)

Data for an optimized crystal structure of CdHgTe2.

Computed properties:
Formation energy without anion corrections   41 kJ/mol of formula units
Relative energy among the computed polymorphs   419 meV per atom

abc: 3.229 3.229 39.841
angles: 90.00 90.00 120.00
Positions (direct):
Cd  0.000  0.000  0.000
Cd  0.333  0.667  0.667
Cd  0.667  0.333  0.333
Hg  0.000  0.000  0.500
Hg  0.333  0.667  0.167
Hg  0.667  0.333  0.833
Te  0.000  0.000  0.077
Te  0.000  0.000  0.923
Te  0.333  0.667  0.589
Te  0.333  0.667  0.744
Te  0.667  0.333  0.256
Te  0.667  0.333  0.411

***

# 8
## NiBi (PBE)

Data for an optimized crystal structure of NiBi.

abc: 7.254 7.254 7.254
angles: 90.00 90.00 90.00
Positions (direct):
Ni  0.000  0.250  0.500
Ni  0.000  0.750  0.500
Ni  0.250  0.500  0.000
Ni  0.500  0.000  0.250
Ni  0.500  0.000  0.750
Ni  0.750  0.500  0.000
Bi  0.000  0.500  0.250
Bi  0.000  0.500  0.750
Bi  0.250  0.000  0.500
Bi  0.500  0.250  0.000
Bi  0.500  0.750  0.000
Bi  0.750  0.000  0.500

***

# 9
## Tl2PdPt2Se6 (PBE)

Data for an optimized crystal structure of Tl2PdPt2Se6.

Computed properties:
Formation energy without anion corrections   -335 kJ/mol of formula units

abc: 6.654 6.654 7.684
angles: 98.17 98.17 120.10
Positions (direct):
Tl  0.169  0.831  0.000
Tl  0.831  0.169  0.000
Pd  0.000  0.000  0.500
Pt  0.333  0.667  0.500
Pt  0.667  0.333  0.500
Se  0.057  0.398  0.680
Se  0.278  0.278  0.329
Se  0.398  0.057  0.680
Se  0.602  0.943  0.320
Se  0.722  0.722  0.671
Se  0.943  0.602  0.320

***

# 10
## Cs2InBi4 (PBE)

Data for an optimized crystal structure of Cs2InBi4.

abc: 6.011 6.011 19.219
angles: 90.00 90.00 90.00
Positions (direct):
Cs  0.000  0.000  0.144
Cs  0.000  0.000  0.856
Cs  0.500  0.500  0.356
Cs  0.500  0.500  0.644
In  0.000  0.000  0.500
In  0.500  0.500  0.000
Bi  0.000  0.000  0.354
Bi  0.000  0.000  0.646
Bi  0.000  0.500  0.000
Bi  0.000  0.500  0.500
Bi  0.500  0.000  0.000
Bi  0.500  0.000  0.500
Bi  0.500  0.500  0.146
Bi  0.500  0.500  0.854

***

# 11
## Pa3Ga4Os4 (PBE)

Data for an optimized crystal structure of Pa3Ga4Os4.

abc: 8.331 8.331 8.331
angles: 153.85 125.45 61.47
Positions (direct):
Pa  0.000  0.000  0.000
Pa  0.379  0.879  0.500
Pa  0.621  0.121  0.500
Ga  0.025  0.326  0.700
Ga  0.374  0.674  0.700
Ga  0.626  0.326  0.300
Ga  0.975  0.674  0.300
Os  0.230  0.230  0.000
Os  0.285  0.500  0.785
Os  0.715  0.500  0.215
Os  0.770  0.770  0.000

***

# 12
## CsSb2Cl2 (PBE)

Data for an optimized crystal structure of CsSb2Cl2.

Computed properties:
Formation energy without anion corrections   -153 kJ/mol of formula units
Relative energy among the computed polymorphs   377 meV per atom

abc: 9.817 9.817 3.553
angles: 90.00 90.00 90.00
Positions (direct):
Cs  0.000  0.000  0.000
Cs  0.500  0.500  0.000
Sb  0.099  0.401  0.500
Sb  0.401  0.901  0.500
Sb  0.599  0.099  0.500
Sb  0.901  0.599  0.500
Cl  0.192  0.692  0.000
Cl  0.308  0.192  0.000
Cl  0.692  0.808  0.000
Cl  0.808  0.308  0.000

***

# 13
## Nd6Sb2TeP3 (PBE)

Data for an optimized crystal structure of Nd6Sb2TeP3.

Computed properties:
Formation energy without anion corrections   -1649 kJ/mol of formula units

abc: 9.742 9.742 8.752
angles: 104.08 104.08 25.53
Positions (direct):
Nd  0.006  0.006  0.231
Nd  0.327  0.327  0.429
Nd  0.338  0.338  0.904
Nd  0.662  0.662  0.096
Nd  0.673  0.673  0.571
Nd  0.994  0.994  0.769
Sb  0.166  0.166  0.832
Sb  0.834  0.834  0.168
Te  0.500  0.500  0.500
P  0.166  0.166  0.333
P  0.500  0.500  0.000
P  0.834  0.834  0.667

***

# 14
## InAs3F (PBE)

Data for an optimized crystal structure of InAs3F.

Computed properties:
Formation energy without anion corrections   385 kJ/mol of formula units
Relative energy among the computed polymorphs   565 meV per atom

abc: 5.239 5.239 5.239
angles: 90.00 90.00 90.00
Positions (direct):
In  0.000  0.000  0.000
As  0.000  0.000  0.500
As  0.000  0.500  0.000
As  0.500  0.000  0.000
F  0.500  0.500  0.500

***

# 15
## ZnSb5 (PBE)

Data for an optimized crystal structure of ZnSb5.

Computed properties:
Formation energy without anion corrections   84 kJ/mol of formula units
Relative energy among the computed polymorphs   0 meV per atom

abc: 13.247 3.160 8.372
angles: 90.00 111.39 90.00
Positions (direct):
Zn  0.000  0.000  0.000
Zn  0.500  0.500  0.000
Sb  0.001  0.500  0.501
Sb  0.149  0.500  0.289
Sb  0.162  0.000  0.840
Sb  0.339  0.500  0.162
Sb  0.351  0.000  0.711
Sb  0.501  0.000  0.501
Sb  0.649  0.000  0.289
Sb  0.662  0.500  0.840
Sb  0.839  0.000  0.162
Sb  0.851  0.500  0.711

***

# 16
## BaSrCeZrO6 (PBE)

Data for an optimized crystal structure of BaSrCeZrO6.

Computed properties:
Formation energy without anion corrections   -3073 kJ/mol of formula units
Relative energy among the computed polymorphs   0 meV per atom

abc: 6.070 6.097 8.594
angles: 89.82 89.83 89.84
Positions (direct):
Ba  0.006  0.023  0.250
Ba  0.994  0.977  0.750
Sr  0.494  0.530  0.249
Sr  0.506  0.470  0.751
Ce  0.000  0.500  0.000
Ce  0.500  0.000  0.500
Zr  0.000  0.500  0.500
Zr  0.500  0.000  0.000
O  0.084  0.497  0.742
O  0.213  0.774  0.469
O  0.225  0.789  0.029
O  0.276  0.292  0.451
O  0.296  0.281  0.048
O  0.436  0.042  0.758
O  0.564  0.958  0.242
O  0.704  0.719  0.952
O  0.724  0.708  0.549
O  0.775  0.211  0.971
O  0.787  0.226  0.531
O  0.916  0.503  0.258

***

# 17
## Ti2CrTc (PBE)

Data for an optimized crystal structure of Ti2CrTc.

abc: 4.372 4.372 3.091
angles: 90.00 90.00 90.00
Positions (direct):
Ti  0.000  0.500  0.000
Ti  0.500  0.000  0.000
Cr  0.000  0.000  0.500
Tc  0.500  0.500  0.500

***

# 18
## Pb2SeCl (PBE)

Data for an optimized crystal structure of Pb2SeCl.

Computed properties:
Formation energy without anion corrections   -221 kJ/mol of formula units
Relative energy among the computed polymorphs   8 meV per atom

abc: 9.373 9.373 7.034
angles: 104.73 104.73 117.91
Positions (direct):
Pb  0.053  0.428  0.265
Pb  0.180  0.307  0.733
Pb  0.307  0.180  0.233
Pb  0.428  0.053  0.765
Pb  0.572  0.947  0.235
Pb  0.693  0.820  0.767
Pb  0.820  0.693  0.267
Pb  0.947  0.572  0.735
Se  0.064  0.936  0.750
Se  0.311  0.689  0.750
Se  0.689  0.311  0.250
Se  0.936  0.064  0.250
Cl  0.181  0.819  0.250
Cl  0.445  0.555  0.250
Cl  0.555  0.445  0.750
Cl  0.819  0.181  0.750

***

# 19
## Mo2WSe (PBE)

Data for an optimized crystal structure of Mo2WSe.

Computed properties:
Formation energy without anion corrections   340 kJ/mol of formula units

abc: 6.993 6.993 5.643
angles: 90.00 90.00 90.00
Positions (direct):
Mo  0.233  0.250  0.125
Mo  0.250  0.733  0.375
Mo  0.250  0.767  0.875
Mo  0.267  0.250  0.625
Mo  0.733  0.750  0.625
Mo  0.750  0.233  0.875
Mo  0.750  0.267  0.375
Mo  0.767  0.750  0.125
W  0.000  0.000  0.500
W  0.000  0.500  0.750
W  0.500  0.000  0.250
W  0.500  0.500  0.000
Se  0.000  0.000  0.000
Se  0.000  0.500  0.250
Se  0.500  0.000  0.750
Se  0.500  0.500  0.500

***

# 20
## Tm4SiBi2 (PBE)

Data for an optimized crystal structure of Tm4SiBi2.

Computed properties:
Formation energy without anion corrections   -316 kJ/mol of formula units

abc: 6.598 6.510 9.606
angles: 90.00 108.09 90.00
Positions (direct):
Tm  0.016  0.003  0.257
Tm  0.016  0.497  0.257
Tm  0.372  0.750  0.052
Tm  0.437  0.750  0.643
Tm  0.563  0.250  0.357
Tm  0.628  0.250  0.948
Tm  0.984  0.503  0.743
Tm  0.984  0.997  0.743
Si  0.365  0.750  0.339
Si  0.635  0.250  0.661
Bi  0.194  0.250  0.549
Bi  0.206  0.250  0.037
Bi  0.794  0.750  0.963
Bi  0.806  0.750  0.451

***

# 21
## Ti2AlB2 (PBE)

Data for an optimized crystal structure of Ti2AlB2.

abc: 2.821 2.821 15.738
angles: 90.00 90.00 90.00
Positions (direct):
Ti  0.000  0.000  0.131
Ti  0.000  0.000  0.869
Ti  0.500  0.500  0.369
Ti  0.500  0.500  0.631
Al  0.000  0.000  0.500
Al  0.500  0.500  0.000
B  0.000  0.500  0.250
B  0.000  0.500  0.750
B  0.500  0.000  0.250
B  0.500  0.000  0.750

***

# 22
## RuPt2Rh (PBE)

Data for an optimized crystal structure of RuPt2Rh.

Computed properties:
Relative energy among the computed polymorphs   63 meV per atom

abc: 3.900 3.900 3.895
angles: 90.00 90.00 90.00
Positions (direct):
Ru  0.000  0.000  0.000
Pt  0.000  0.500  0.500
Pt  0.500  0.000  0.500
Rh  0.500  0.500  0.000

***

# 23
## LiNiHg2 (PBE)

Data for an optimized crystal structure of LiNiHg2.

abc: 3.535 4.212 9.148
angles: 90.00 90.00 90.00
Positions (direct):
Li  0.000  0.000  0.000
Li  0.500  0.500  0.500
Ni  0.000  0.500  0.740
Ni  0.500  0.000  0.240
Hg  0.000  0.000  0.472
Hg  0.000  0.500  0.234
Hg  0.500  0.000  0.734
Hg  0.500  0.500  0.972

***

What E_tot values result from the calculations? In sequence: -1.642; -8.687; -5.537; -3.399; -3.938; -5.918; -1.768; -4.311; -4.217; -2.687; -8.126; -2.876; -6.110; -2.913; -3.502; -7.968; -9.168; -3.761; -8.645; -4.907; -6.582; -7.152; -2.091 eV/atom.